Record 1
{
  "formula": "PrDyGa2I2",
  "functional": "PBE",
  "state": "relaxed",
  "e_tot_ev_per_cell": -24.9,
  "lattice": [[-2.444, 2.241, -2.679], [-1.709, -3.137, 2.327], [-2.511, 8.088, 9.059]],
  "species": ["I", "I", "Pr", "Ga", "Ga", "Dy"],
  "fractional_positions": [[0.333, 0.667, 0.164], [0.667, 0.333, 0.825], [0.000, 0.000, 0.334], [0.333, 0.667, 0.532], [0.667, 0.333, 0.479], [0.000, 0.000, 0.666]]
}

=====

Record 2
{
  "formula": "SmDyGa2I2",
  "functional": "PBE",
  "state": "relaxed",
  "e_tot_ev_per_cell": -24.8,
  "lattice": [[-2.807, 3.072, 0.814], [-1.346, -3.927, -0.864], [0.428, -2.777, 11.960]],
  "species": ["Dy", "Sm", "I", "I", "Ga", "Ga"],
  "fractional_positions": [[0.000, 0.000, 0.665], [0.000, 0.000, 0.335], [0.667, 0.333, 0.829], [0.333, 0.667, 0.170], [0.333, 0.667, 0.528], [0.667, 0.333, 0.473]]
}

=====

Record 3
{
  "formula": "Dy5InGa2",
  "functional": "PBE",
  "state": "relaxed",
  "e_tot_ev_per_cell": -71.2,
  "lattice": [[-2.997, -8.083, -2.648], [-8.551, -0.390, 2.837], [4.101, 6.411, -4.838]],
  "species": ["Ga", "Ga", "Ga", "Ga", "Dy", "Dy", "Dy", "Dy", "Dy", "Dy", "Dy", "Dy", "Dy", "Dy", "In", "In"],
  "fractional_positions": [[0.876, 0.376, 0.252], [0.624, 0.876, 0.500], [0.376, 0.124, 0.500], [0.124, 0.624, 0.748], [0.500, 0.500, 0.000], [0.023, 0.189, 0.500], [0.811, 0.311, 0.834], [0.689, 0.523, 0.500], [0.477, 0.977, 0.166], [0.189, 0.689, 0.166], [0.311, 0.477, 0.500], [0.523, 0.023, 0.834], [0.977, 0.811, 0.500], [0.000, 0.000, 0.000], [0.250, 0.250, 0.000], [0.750, 0.750, 0.000]]
}

=====

Record 4
{
  "formula": "DyIn2Ga",
  "functional": "PBE",
  "state": "relaxed",
  "e_tot_ev_per_cell": -29.1,
  "lattice": [[4.983, 0.000, 0.000], [0.000, 3.313, 5.661], [0.000, -3.313, 5.661]],
  "species": ["Ga", "Ga", "In", "In", "In", "In", "Dy", "Dy"],
  "fractional_positions": [[0.500, 0.687, 0.151], [0.500, 0.151, 0.687], [0.000, 0.319, 0.838], [0.000, 0.838, 0.319], [0.000, 0.843, 0.843], [0.500, 0.158, 0.158], [0.500, 0.665, 0.665], [0.000, 0.339, 0.339]]
}

=====

Record 5
{
  "formula": "Dy2InGa2",
  "functional": "PBE",
  "state": "relaxed",
  "e_tot_ev_per_cell": -42.2,
  "lattice": [[7.238, 0.000, 0.000], [0.000, 7.238, 0.000], [0.000, 0.000, 4.391]],
  "species": ["Ga", "Ga", "Ga", "Ga", "Dy", "Dy", "Dy", "Dy", "In", "In"],
  "fractional_positions": [[0.125, 0.375, 0.000], [0.375, 0.875, 0.000], [0.875, 0.625, 0.000], [0.625, 0.125, 0.000], [0.328, 0.172, 0.500], [0.172, 0.672, 0.500], [0.828, 0.328, 0.500], [0.672, 0.828, 0.500], [0.000, 0.000, 0.000], [0.500, 0.500, 0.000]]
}

=====

Record 6
{
  "formula": "Dy2InGa5",
  "functional": "PBE",
  "state": "relaxed",
  "e_tot_ev_per_cell": -30.9,
  "lattice": [[-4.002, 2.343, -0.278], [-0.058, 0.646, 6.286], [2.765, 5.035, 2.632]],
  "species": ["Ga", "Ga", "Ga", "Ga", "Ga", "Dy", "Dy", "In"],
  "fractional_positions": [[0.500, 0.155, 0.698], [0.500, 0.147, 0.147], [0.000, 0.854, 0.305], [0.500, 0.698, 0.155], [0.000, 0.305, 0.854], [0.500, 0.659, 0.659], [0.000, 0.335, 0.335], [0.000, 0.847, 0.847]]
}

=====

Record 7
{
  "formula": "DyIn4GaIr",
  "functional": "PBE",
  "state": "relaxed",
  "e_tot_ev_per_cell": -29.9,
  "lattice": [[4.611, 0.000, 0.000], [0.000, 4.611, 0.000], [0.000, 0.000, 7.439]],
  "species": ["Dy", "Ir", "In", "In", "In", "In", "Ga"],
  "fractional_positions": [[0.000, 0.000, 0.000], [0.000, 0.000, 0.500], [0.500, 0.000, 0.296], [0.000, 0.500, 0.296], [0.500, 0.000, 0.704], [0.000, 0.500, 0.704], [0.500, 0.500, 0.000]]
}

=====

Record 8
{
  "formula": "Dy3Mg3In2Ga",
  "functional": "PBE",
  "state": "relaxed",
  "e_tot_ev_per_cell": -30.7,
  "lattice": [[7.507, 0.000, 0.000], [-3.754, 6.502, 0.000], [0.000, 0.000, 4.539]],
  "species": ["In", "In", "Mg", "Mg", "Mg", "Dy", "Dy", "Dy", "Ga"],
  "fractional_positions": [[0.333, 0.667, 0.500], [0.667, 0.333, 0.500], [0.763, 0.763, 0.500], [0.000, 0.237, 0.500], [0.237, 0.000, 0.500], [0.000, 0.583, 0.000], [0.417, 0.417, 0.000], [0.583, 0.000, 0.000], [0.000, 0.000, 0.000]]
}

=====

Record 9
{
  "formula": "Pr2DyMg3InGa2",
  "functional": "PBE",
  "state": "relaxed",
  "e_tot_ev_per_cell": -31.8,
  "lattice": [[-1.835, 3.321, 2.664], [5.658, -0.735, 4.815], [0.597, 4.855, -5.640]],
  "species": ["In", "Pr", "Pr", "Mg", "Mg", "Mg", "Dy", "Ga", "Ga"],
  "fractional_positions": [[0.000, 0.006, 0.006], [0.000, 0.563, 0.999], [0.000, 0.999, 0.563], [0.500, 0.002, 0.249], [0.500, 0.750, 0.750], [0.500, 0.249, 0.002], [0.000, 0.434, 0.434], [0.500, 0.662, 0.336], [0.500, 0.336, 0.662]]
}

=====

Record 10
{
  "formula": "PrDy2Mg3InGa2",
  "functional": "PBE",
  "state": "relaxed",
  "e_tot_ev_per_cell": -31.6,
  "lattice": [[4.592, 0.000, 0.000], [0.000, 6.452, 3.679], [0.000, -6.452, 3.679]],
  "species": ["Pr", "Ga", "Ga", "Mg", "Mg", "Mg", "Dy", "Dy", "In"],
  "fractional_positions": [[0.000, 0.438, 0.438], [0.500, 0.672, 0.331], [0.500, 0.331, 0.672], [0.500, 0.752, 0.752], [0.500, 0.249, 0.999], [0.500, 0.999, 0.249], [0.000, 0.565, 0.002], [0.000, 0.002, 0.565], [0.000, 0.993, 0.993]]
}

=====

Record 11
{
  "formula": "Sm2DyMg3InGa2",
  "functional": "PBE",
  "state": "relaxed",
  "e_tot_ev_per_cell": -31.7,
  "lattice": [[4.592, 0.000, 0.000], [0.000, 6.384, 3.715], [0.000, -6.384, 3.715]],
  "species": ["Mg", "Mg", "Mg", "Ga", "Ga", "In", "Dy", "Sm", "Sm"],
  "fractional_positions": [[0.500, 0.249, 0.000], [0.500, 0.000, 0.249], [0.500, 0.751, 0.751], [0.500, 0.334, 0.664], [0.500, 0.664, 0.334], [0.000, 0.004, 0.004], [0.000, 0.436, 0.436], [0.000, 0.562, 0.999], [0.000, 0.999, 0.562]]
}

=====

Record 12
{
  "formula": "DyTm2Mg3InGa2",
  "functional": "PBE",
  "state": "relaxed",
  "e_tot_ev_per_cell": -31.0,
  "lattice": [[-1.048, -2.905, -3.314], [5.816, -4.036, 1.699], [-6.421, -1.304, 3.173]],
  "species": ["Mg", "Mg", "Mg", "Dy", "Tm", "Tm", "Ga", "Ga", "In"],
  "fractional_positions": [[0.500, 0.250, 0.250], [0.500, 0.750, 0.000], [0.500, 0.000, 0.750], [0.000, 0.561, 0.561], [0.000, 0.438, 0.000], [0.000, 0.000, 0.438], [0.500, 0.332, 0.667], [0.500, 0.667, 0.332], [0.000, 0.002, 0.002]]
}

=====

Record 13
{
  "formula": "Dy2TmMg3InGa2",
  "functional": "PBE",
  "state": "relaxed",
  "e_tot_ev_per_cell": -31.2,
  "lattice": [[4.541, 0.000, 0.000], [0.000, 6.301, 3.656], [0.000, -6.301, 3.656]],
  "species": ["Ga", "Ga", "Mg", "Mg", "Mg", "Tm", "Dy", "Dy", "In"],
  "fractional_positions": [[0.500, 0.666, 0.335], [0.500, 0.335, 0.666], [0.500, 0.750, 0.000], [0.500, 0.000, 0.750], [0.500, 0.250, 0.250], [0.000, 0.563, 0.563], [0.000, 0.438, 0.000], [0.000, 0.000, 0.438], [0.000, 0.998, 0.998]]
}

=====

Record 14
{
  "formula": "Nd2DyZn3InGa2",
  "functional": "PBE",
  "state": "relaxed",
  "e_tot_ev_per_cell": -31.1,
  "lattice": [[-3.586, -1.465, 2.200], [2.275, -6.762, -0.793], [2.003, 3.767, 5.773]],
  "species": ["Ga", "Ga", "Zn", "Zn", "Zn", "Nd", "Nd", "In", "Dy"],
  "fractional_positions": [[0.500, 0.662, 0.336], [0.500, 0.336, 0.662], [0.500, 0.252, 0.001], [0.500, 0.746, 0.746], [0.500, 0.001, 0.252], [0.000, 0.998, 0.559], [0.000, 0.559, 0.998], [0.000, 0.006, 0.006], [0.000, 0.440, 0.440]]
}

=====

Record 15
{
  "formula": "DyTm2Zn3InGa2",
  "functional": "PBE",
  "state": "relaxed",
  "e_tot_ev_per_cell": -30.7,
  "lattice": [[4.369, 0.000, 0.000], [0.000, 6.061, 3.486], [0.000, -6.061, 3.486]],
  "species": ["Dy", "Tm", "Tm", "Ga", "Ga", "Zn", "Zn", "Zn", "In"],
  "fractional_positions": [[0.000, 0.556, 0.556], [0.000, 0.999, 0.444], [0.000, 0.444, 0.999], [0.500, 0.667, 0.332], [0.500, 0.332, 0.667], [0.500, 0.000, 0.746], [0.500, 0.746, 0.000], [0.500, 0.254, 0.254], [0.000, 0.002, 0.002]]
}

=====

Record 16
{
  "formula": "Dy2Zn2InGa",
  "functional": "PBE",
  "state": "relaxed",
  "e_tot_ev_per_cell": -20.6,
  "lattice": [[-4.036, 2.073, 0.012], [1.199, -2.652, 3.481], [2.945, 5.712, 3.336]],
  "species": ["Zn", "Zn", "Dy", "Dy", "Ga", "In"],
  "fractional_positions": [[0.333, 0.667, 0.533], [0.000, 0.000, 0.050], [0.667, 0.333, 0.251], [0.667, 0.333, 0.737], [0.000, 0.000, 0.462], [0.333, 0.667, 0.967]]
}

=====

Record 17
{
  "formula": "LaDyGa4Ir2",
  "functional": "PBE",
  "state": "relaxed",
  "e_tot_ev_per_cell": -45.1,
  "lattice": [[-1.208, 2.816, -2.898], [2.640, -4.266, -5.246], [-3.957, -3.717, 1.032]],
  "species": ["Ga", "Ga", "Ga", "Ga", "Ir", "Ir", "La", "Dy"],
  "fractional_positions": [[0.647, 0.309, 0.299], [0.353, 0.797, 0.701], [0.647, 0.691, 0.299], [0.353, 0.203, 0.701], [0.794, 0.000, 0.579], [0.209, 0.500, 0.425], [0.067, 0.000, 0.138], [0.929, 0.500, 0.858]]
}

=====

Record 18
{
  "formula": "DyLuGa4Ir2",
  "functional": "PBE",
  "state": "relaxed",
  "e_tot_ev_per_cell": -45.0,
  "lattice": [[-3.497, -0.051, 2.387], [2.362, -5.583, 3.342], [3.991, 2.978, 2.154]],
  "species": ["Ga", "Ga", "Ga", "Ga", "Ir", "Ir", "Dy", "Lu"],
  "fractional_positions": [[0.638, 0.198, 0.275], [0.362, 0.304, 0.725], [0.638, 0.802, 0.275], [0.362, 0.696, 0.725], [0.790, 0.500, 0.581], [0.210, 0.000, 0.419], [0.921, 0.000, 0.843], [0.080, 0.500, 0.159]]
}

=====

Record 19
{
  "formula": "Dy3Mg3GaIr2",
  "functional": "PBE",
  "state": "relaxed",
  "e_tot_ev_per_cell": -44.4,
  "lattice": [[-2.147, -0.114, -6.966], [-3.876, -3.528, 5.067], [-2.258, 3.400, 0.640]],
  "species": ["Ir", "Ir", "Dy", "Dy", "Dy", "Ga", "Mg", "Mg", "Mg"],
  "fractional_positions": [[0.667, 0.333, 0.500], [0.333, 0.667, 0.500], [0.000, 0.579, 0.000], [0.421, 0.421, 0.000], [0.579, 0.000, 0.000], [0.000, 0.000, 0.000], [0.750, 0.750, 0.500], [0.250, 0.000, 0.500], [0.000, 0.250, 0.500]]
}

=====

Record 20
{
  "formula": "NdDyGa4Ir2",
  "functional": "PBE",
  "state": "relaxed",
  "e_tot_ev_per_cell": -44.9,
  "lattice": [[-1.612, 1.018, 3.742], [-0.871, -6.888, 1.499], [5.547, -0.646, 0.253]],
  "species": ["Ir", "Ir", "Ga", "Ga", "Ga", "Ga", "Nd", "Dy"],
  "fractional_positions": [[0.789, 0.500, 0.573], [0.210, 0.000, 0.426], [0.354, 0.701, 0.703], [0.647, 0.806, 0.299], [0.354, 0.299, 0.703], [0.647, 0.194, 0.299], [0.069, 0.500, 0.138], [0.930, 0.000, 0.860]]
}